1.
First-principles (GGA-PBE) data for Pr2HoPd after structural relaxation, as listed in Alexandria via LeMat-Bulk.

Properties
* formation energy: -0.3786 eV/atom
* calculated volume: 29.03 Å³ per atom
* DFT total energy: -20.84 eV for the cell shown

Lattice parameters (Å, degrees): 5.135 3.626 8.833 90.01 90.00 44.92
Element x y z (fractional)
Pr: 0.878 0.999 0.537
Pr: 0.378 0.999 0.228
Ho: 0.377 0.000 0.840
Pd: 0.878 0.000 0.006


2.
First-principles (GGA-PBE) data for SrCd2PtI after structural relaxation, as listed in Alexandria via LeMat-Bulk.

Properties
* uncorrected formation energy: -610.8 meV/atom
* calculated volume: 32.88 Å³ per atom
* DFT total energy: -14.16 eV for the cell shown

Lattice parameters (Å, degrees): 5.277 5.277 5.904 90.00 90.00 90.00
Element x y z (fractional)
I: 0.500 0.500 0.500
Sr: 0.000 0.000 0.500
Pt: 0.000 0.000 0.000
Cd: 0.000 0.500 0.000
Cd: 0.500 0.000 0.000